# 1
The following is a DFT calculation (PBE) of a relaxed structure of Rb2Hg3F10.

Geometry as CIF:
```
data_Rb2Hg3F10
_chemical_formula_sum 'Rb8 Hg12 F40'
_cell_length_a 20.4954
_cell_length_b 6.9388
_cell_length_c 8.6911
_cell_angle_alpha 90.00
_cell_angle_beta 111.47
_cell_angle_gamma 90.00
_symmetry_space_group_name_H-M 'C 1 2/m 1'
_symmetry_Int_Tables_number 12
loop_
_symmetry_equiv_pos_as_xyz
'x,y,z'
'-x,-y,-z'
'-x,y,-z'
'x,-y,z'
'x+1/2,y+1/2,z'
'-x+1/2,-y+1/2,-z'
'-x+1/2,y+1/2,-z'
'x+1/2,-y+1/2,z'
loop_
_atom_site_label
_atom_site_type_symbol
_atom_site_fract_x
_atom_site_fract_y
_atom_site_fract_z
Rb1 Rb 0.1114 0.0000 0.2141
Rb2 Rb 0.2102 0.0000 0.8318
Hg1 Hg 0.0000 0.2426 0.5000
Hg2 Hg 0.0820 0.5000 0.9741
Hg3 Hg 0.1839 0.5000 0.5274
F1 F 0.0000 0.3013 0.0000
F2 F 0.0122 0.0000 0.6884
F3 F 0.0216 0.5000 0.6864
F4 F 0.1136 0.2500 0.5407
F5 F 0.1346 0.5000 0.2732
F6 F 0.1542 0.2690 0.0000
F7 F 0.2398 0.5000 0.7768
F8 F 0.2500 0.2500 0.5000
```

Values from the calculation:
Total energy = -186.17 eV per cell
Energy relative to the elements, uncorrected = -1.666 eV/atom

---

# 2
The following is a DFT calculation (PBE) of a relaxed structure of Mg2MoIr.

Geometry as CIF:
```
data_Mg2MoIr
_chemical_formula_sum 'Mg4 Mo2 Ir2'
_cell_length_a 3.1160
_cell_length_b 4.5969
_cell_length_c 9.1003
_cell_angle_alpha 90.00
_cell_angle_beta 90.00
_cell_angle_gamma 90.00
_symmetry_space_group_name_H-M 'C m m m'
_symmetry_Int_Tables_number 65
_symmetry_space_group_name_Hall '-C 2 2'
loop_
_atom_site_label
_atom_site_type_symbol
_atom_site_fract_x
_atom_site_fract_y
_atom_site_fract_z
Mg1 Mg 0.0000 0.0000 0.2357
Mo1 Mo 0.0000 0.5000 0.5000
Ir1 Ir 0.0000 0.5000 0.0000
```

Values from the calculation:
Energy relative to the lowest polymorph listed for this composition = 215 meV per atom
Total energy = -44.98 eV per cell
Energy of formation = 0.098 eV per atom

---

# 3
The following is a DFT calculation (PBE) of a relaxed structure of Ce7Fe2Pb2.

Geometry as CIF:
```
data_Ce7Fe2Pb2
_chemical_formula_sum 'Ce14 Fe4 Pb4'
_cell_length_a 11.2961
_cell_length_b 7.8700
_cell_length_c 6.7948
_cell_angle_alpha 90.00
_cell_angle_beta 90.08
_cell_angle_gamma 90.00
_symmetry_space_group_name_H-M 'C 1 2/m 1'
_symmetry_Int_Tables_number 12
loop_
_symmetry_equiv_pos_as_xyz
'x,y,z'
'-x,-y,-z'
'-x,y,-z'
'x,-y,z'
'x+1/2,y+1/2,z'
'-x+1/2,-y+1/2,-z'
'-x+1/2,y+1/2,-z'
'x+1/2,-y+1/2,z'
loop_
_atom_site_label
_atom_site_type_symbol
_atom_site_fract_x
_atom_site_fract_y
_atom_site_fract_z
Ce1 Ce 0.0000 0.0000 0.0000
Ce2 Ce 0.0002 0.5000 0.1972
Ce3 Ce 0.2503 0.2501 0.2466
Fe1 Fe 0.2307 0.5000 0.0000
Pb1 Pb 0.0000 0.1873 0.5000
```

Values from the calculation:
Total energy = -133.07 eV per cell
Energy of formation = -0.060 eV per atom

---

# 4
The following is a DFT calculation (PBE) of a relaxed structure of CeAl4PtAu2.

Geometry as CIF:
```
data_CeAl4PtAu2
_chemical_formula_sum 'Ce3 Al12 Pt3 Au6'
_cell_length_a 4.3712
_cell_length_b 4.3712
_cell_length_c 27.4011
_cell_angle_alpha 90.00
_cell_angle_beta 90.00
_cell_angle_gamma 120.00
_symmetry_space_group_name_H-M 'R -3 m'
_symmetry_Int_Tables_number 166
_symmetry_space_group_name_Hall '-R 3 2"'
loop_
_atom_site_label
_atom_site_type_symbol
_atom_site_fract_x
_atom_site_fract_y
_atom_site_fract_z
Ce1 Ce 0.0000 0.0000 0.0000
Al1 Al 0.0000 0.0000 0.1329
Al2 Al 0.0000 0.0000 0.4058
Pt1 Pt 0.0000 0.0000 0.5000
Au1 Au 0.0000 0.0000 0.2536
```

Values from the calculation:
Total energy = -115.39 eV per cell
Energy of formation = -0.620 eV per atom